[1]
{
  "formula": "SrAcIO2",
  "functional": "GGA-PBE",
  "state": "optimized geometry",
  "lattice_angstrom": [[4.3242, 0.0000, 0.0000], [0.0000, 4.3242, 0.0000], [-2.1621, -2.1621, 7.0674]],
  "species": ["O", "O", "I", "Ac", "Sr"],
  "frac_coords": [[0.7480, 0.2480, 0.4960], [0.2480, 0.7480, 0.4960], [0.5003, 0.5003, 0.0005], [0.1731, 0.1731, 0.3462], [0.8307, 0.8307, 0.6613]],
  "rho_g_cm3": 6.0,
  "crystal_system": "tetragonal",
  "raw_formation_energy_ev_per_atom": -2.779
}



[2]
{
  "formula": "AcTaIO4",
  "functional": "GGA-PBE",
  "state": "optimized geometry",
  "lattice_angstrom": [[7.2904, 0.8872, -0.3721], [3.2520, 6.5850, -0.3721], [1.7536, 1.2429, 7.1174]],
  "species": ["O", "O", "O", "O", "O", "O", "O", "O", "Ta", "Ta", "Ac", "Ac", "I", "I"],
  "frac_coords": [[0.5289, 0.1163, 0.1231], [0.4711, 0.8837, 0.8769], [0.1163, 0.5289, 0.1231], [0.6891, 0.6891, 0.5061], [0.8837, 0.4711, 0.8769], [0.4798, 0.4798, 0.7921], [0.3109, 0.3109, 0.4939], [0.5202, 0.5202, 0.2079], [0.3736, 0.3736, 0.2431], [0.6264, 0.6264, 0.7569], [0.2907, 0.2907, 0.8242], [0.7093, 0.7093, 0.1758], [0.0217, 0.0217, 0.3147], [0.9783, 0.9783, 0.6853]],
  "rho_g_cm3": 6.1,
  "crystal_system": "monoclinic",
  "raw_formation_energy_ev_per_atom": -2.621
}



[3]
{
  "formula": "AcTb2IO8",
  "functional": "GGA-PBE",
  "state": "optimized geometry",
  "lattice_angstrom": [[5.1075, 0.0296, -0.0033], [0.0771, 5.1110, -0.0057], [0.0045, 0.0077, 7.1530]],
  "species": ["O", "O", "O", "O", "O", "O", "O", "O", "Tb", "Tb", "I", "Ac"],
  "frac_coords": [[0.7377, 0.7391, 0.0000], [0.8155, 0.1855, 0.1936], [0.1845, 0.8145, 0.8064], [0.2623, 0.2609, 0.0000], [0.1845, 0.8145, 0.1936], [0.6752, 0.6778, 0.5000], [0.3249, 0.3222, 0.5000], [0.8155, 0.1855, 0.8064], [0.5000, 0.5000, 0.2491], [0.5000, 0.5000, 0.7509], [0.0000, 0.0000, 0.0000], [0.0000, 0.0000, 0.5000]],
  "rho_g_cm3": 7.1,
  "crystal_system": "monoclinic",
  "raw_formation_energy_ev_per_atom": -2.292
}



[4]
{
  "formula": "Ac2TbIO8",
  "functional": "GGA-PBE",
  "state": "optimized geometry",
  "lattice_angstrom": [[-3.7391, 0.8128, -3.7307], [3.5970, -1.4470, -3.6879], [-2.1046, -6.8197, 0.6226]],
  "species": ["Tb", "O", "O", "O", "O", "O", "O", "O", "O", "Ac", "Ac", "I"],
  "frac_coords": [[0.0000, 0.0000, 0.5000], [0.8333, 0.1703, 0.7979], [0.7019, 0.7037, 0.5003], [0.7453, 0.7493, 0.9994], [0.2981, 0.2963, 0.4997], [0.1667, 0.8297, 0.2021], [0.1675, 0.8306, 0.7979], [0.8325, 0.1694, 0.2021], [0.2547, 0.2507, 0.0006], [0.5005, 0.5005, 0.2447], [0.4995, 0.4995, 0.7553], [0.0000, 0.0000, 0.0000]],
  "rho_g_cm3": 7.0,
  "crystal_system": "monoclinic",
  "raw_formation_energy_ev_per_atom": -2.237
}



[5]
{
  "formula": "AcTbI2O8",
  "functional": "GGA-PBE",
  "state": "optimized geometry",
  "lattice_angstrom": [[6.2880, 0.0000, 0.0000], [-3.1440, 5.4456, 0.0000], [0.0000, 0.0000, 7.1760]],
  "species": ["O", "O", "O", "O", "O", "O", "O", "O", "Ac", "Tb", "I", "I"],
  "frac_coords": [[0.8488, 0.1512, 0.2209], [0.8488, 0.6976, 0.2209], [0.1512, 0.8488, 0.7791], [0.3333, 0.6667, 0.5227], [0.1512, 0.3024, 0.7791], [0.6976, 0.8488, 0.7791], [0.6667, 0.3333, 0.4773], [0.3024, 0.1512, 0.2209], [0.0000, 0.0000, 0.5000], [0.0000, 0.0000, 0.0000], [0.6667, 0.3333, 0.2257], [0.3333, 0.6667, 0.7743]],
  "rho_g_cm3": 5.2,
  "crystal_system": "trigonal",
  "raw_formation_energy_ev_per_atom": -1.584
}



[6]
{
  "formula": "AcTbIO6",
  "functional": "GGA-PBE",
  "state": "optimized geometry",
  "lattice_angstrom": [[5.2651, 0.0000, 0.0000], [0.0000, 5.7137, 0.0000], [0.0000, -2.8568, 4.9482]],
  "species": ["Tb", "O", "O", "O", "O", "O", "O", "Ac", "I"],
  "frac_coords": [[0.5000, 0.6667, 0.3333], [0.7156, 0.2990, 0.0113], [0.7156, 0.9887, 0.2877], [0.2844, 0.2990, 0.2877], [0.7156, 0.7123, 0.7010], [0.2844, 0.7123, 0.0113], [0.2844, 0.9887, 0.7010], [0.0000, 0.3333, 0.6667], [0.5000, 0.0000, 0.0000]],
  "rho_g_cm3": 6.8,
  "crystal_system": "trigonal",
  "raw_formation_energy_ev_per_atom": -2.059
}



[7]
{
  "formula": "Ac3TcI2O6",
  "functional": "GGA-PBE",
  "state": "optimized geometry",
  "lattice_angstrom": [[-2.2634, -1.7516, -5.8470], [-0.9429, -6.6898, 2.3691], [-5.3792, 4.4053, -0.5188]],
  "species": ["Ac", "Ac", "Ac", "O", "O", "O", "O", "O", "O", "Tc", "I", "I"],
  "frac_coords": [[0.5000, 0.5000, 0.5000], [0.0000, 0.5000, 0.0000], [0.5000, 0.0000, 0.5000], [0.6813, 0.2734, 0.0991], [0.3594, 0.1583, 0.3166], [0.3187, 0.7266, 0.9009], [0.6813, 0.8256, 0.0991], [0.6406, 0.8417, 0.6834], [0.3187, 0.1744, 0.9009], [0.5000, 0.0000, 0.0000], [0.9189, 0.2440, 0.4880], [0.0811, 0.7560, 0.5120]],
  "rho_g_cm3": 6.8,
  "crystal_system": "monoclinic",
  "raw_formation_energy_ev_per_atom": -1.887
}



[8]
{
  "formula": "AcTc2IO8",
  "functional": "GGA-PBE",
  "state": "optimized geometry",
  "lattice_angstrom": [[-1.4622, 4.4474, -5.3203], [-5.1083, -4.1126, 2.6861], [-1.5347, 4.8055, 4.4388]],
  "species": ["Tc", "Tc", "O", "O", "O", "O", "O", "O", "O", "O", "Ac", "I"],
  "frac_coords": [[0.6667, 0.3333, 0.2129], [0.3333, 0.6667, 0.7871], [0.3333, 0.6667, 0.5325], [0.8016, 0.1984, 0.1278], [0.1984, 0.3969, 0.8722], [0.6031, 0.8016, 0.8722], [0.3969, 0.1984, 0.1278], [0.1984, 0.8016, 0.8722], [0.6667, 0.3333, 0.4675], [0.8016, 0.6031, 0.1278], [0.0000, 0.0000, 0.0000], [0.0000, 0.0000, 0.5000]],
  "rho_g_cm3": 3.9,
  "crystal_system": "trigonal",
  "raw_formation_energy_ev_per_atom": -1.768
}